## Nd2NiSn3 (PBE-GGA)

Data for crystalline Nd2NiSn3 at its relaxed geometry.

Geometry as extended XYZ:
```
6
Lattice="4.327 0.000 0.000 0.000 4.604 0.000 0.000 0.000 7.891" Properties=species:S:1:pos:R:3 pbc="T T T"
Ni 2.163 2.302 2.468
Nd 0.000 0.000 3.954
Sn 2.163 0.000 6.626
Sn 2.163 2.302 4.952
Nd 0.000 2.302 0.164
Sn 2.163 0.000 1.564
```

Results
* spin magnetization: 0.00 μB/f.u.
* VASP energy: -5.107 eV/atom
* SG: Pmm2